10
Lattice="4.417 0.000 0.000 0.000 7.553 0.317 0.000 -2.849 8.076" Properties=species:S:1:pos:R:3 comment="Ba2ZnHPt | the Alexandria database | PBE | relaxed" space_group="P2_1/m, No. 11" relative_energy_ev_per_atom=0.000 crystal_system=monoclinic pbc="T T T"
Zn 1.104 2.109 6.283
Zn 3.313 2.594 2.111
H 3.313 0.728 1.357
H 1.104 3.975 7.037
Pt 3.313 0.831 5.910
Pt 1.104 3.872 2.483
Ba 3.313 4.292 4.917
Ba 1.104 0.412 3.476
Ba 3.313 5.605 0.716
Ba 1.104 -0.901 7.677